## LaMnTl (PBEsol)

Data for a geometry-optimized LaMnTl structure.

The space group is F-43m (No. 216) and the conventional cell measures 7.148, 7.148 and 7.148 Å, with angles of 90.00, 90.00 and 90.00 degrees. The asymmetric unit holds La at (0.000, 0.000, 0.000), Mn at (0.250, 0.250, 0.750) and Tl at (0.250, 0.250, 0.250).

The calculation puts the size of the total moment at 17.3 Bohr magnetons per cell. The density of states at the Fermi level is 3.257 states/eV/f.u. Its total DFT energy (no corrections) is -5.1703 eV/atom. The formation energy comes out at 0.74 eV per atom.

---

## NbTePdBr2 (PBEsol)

Data for a geometry-optimized NbTePdBr2 structure.

The space group is P4/mmm (No. 123) and the conventional cell measures 4.886, 4.886 and 5.274 Å, with angles of 90.00, 90.00 and 90.00 degrees. The asymmetric unit holds Nb at (0.000, 0.000, 0.000), Te at (0.500, 0.500, 0.500), Pd at (0.000, 0.000, 0.500) and Br at (0.000, 0.500, 0.000).

The calculation puts the size of the total moment at 0.0 Bohr magnetons per cell. The density of states at the Fermi level is 4.658 states/eV/f.u. Its total DFT energy (no corrections) is -4.4608 eV/atom. For the raw formation energy, the calculation gives 0.348 eV per atom.

---

## FeP3O (PBEsol)

Data for a geometry-optimized FeP3O structure.

The space group is Pm-3m (No. 221) and the conventional cell measures 3.983, 3.983 and 3.983 Å, with angles of 90.00, 90.00 and 90.00 degrees. The asymmetric unit holds Fe at (0.000, 0.000, 0.000), P at (0.000, 0.500, 0.500) and O at (0.500, 0.500, 0.500).

The calculation puts the size of the total moment at 1.2 Bohr magnetons per cell. The density of states at the Fermi level is 4.172 states/eV/f.u. Its total DFT energy (no corrections) is -5.7334 eV/atom. For the raw formation energy, the calculation gives 0.584 eV per atom.

---

## CuBiTe2N (PBEsol)

Data for a geometry-optimized CuBiTe2N structure.

The space group is P4/mmm (No. 123) and the conventional cell measures 5.422, 5.422 and 3.661 Å, with angles of 90.00, 90.00 and 90.00 degrees. The asymmetric unit holds Cu at (0.000, 0.000, 0.000), Bi at (0.500, 0.500, 0.500), Te at (0.000, 0.500, 0.000) and N at (0.000, 0.000, 0.500).

The calculation puts the size of the total moment at 1.4 Bohr magnetons per cell. The density of states at the Fermi level is 3.441 states/eV/f.u. Its total DFT energy (no corrections) is -4.2506 eV/atom. For the raw formation energy, the calculation gives 0.589 eV per atom.

---

- Among the records above, which one has the lowest total DFT energy (no corrections)?
  FeP3O